Here is a geometry-optimized WS3F structure from Alexandria. Energies are from PBE+U.

Output
- electronic total energy (eV/atom) = -4.157
- spin magnetization (μB per cell) = 0.6
- offset from the most stable computed form (meV/atom) = 0.0

abc: 4.650 4.650 4.650
angles: 90.00 90.00 90.00
Fractional positions:
W 0.000 0.000 0.000
S 0.000 0.000 0.500
S 0.000 0.500 0.000
S 0.500 0.000 0.000
F 0.500 0.500 0.500